Density functional theory data (PBE) for an optimized crystal structure of LaZn12Ir4.

For the formation enthalpy at 0 K, the calculation gives 11.84 kJ/mol of atoms.

The structure belongs to space group Im-3 (No. 204); the cell edges are 8.7442, 8.7442 and 8.7442 Å and the angles 90.00°, 90.00° and 90.00°. The inequivalent atoms are La at (0.0000, 0.0000, 0.0000), Zn at (0.0000, 0.1650, 0.3517) and Ir at (0.2500, 0.2500, 0.2500).

=====

Density functional theory data (PBE) for an optimized crystal structure of Y2AlGe.

For the formation enthalpy at 0 K, the calculation gives -22.70 kJ/mol of atoms.

The structure belongs to space group I-42d (No. 122); the cell edges are 7.9014, 7.9014 and 6.6054 Å and the angles 90.00°, 90.00° and 90.00°. The inequivalent atoms are Y at (0.2329, 0.2500, 0.1250), Al at (0.0000, 0.0000, 0.5000) and Ge at (0.0000, 0.0000, 0.0000).

=====

Density functional theory data (PBE) for an optimized crystal structure of Tl2BiRhPb.

For the formation enthalpy at 0 K, the calculation gives 10.89 kJ/mol of atoms.

The structure belongs to space group P4/mmm (No. 123); the cell edges are 5.2958, 5.2958 and 5.3271 Å and the angles 90.00°, 90.00° and 90.00°. The inequivalent atoms are Tl at (0.0000, 0.5000, 0.0000), Bi at (0.0000, 0.0000, 0.5000), Rh at (0.5000, 0.5000, 0.0000) and Pb at (0.5000, 0.5000, 0.5000).

=====

Density functional theory data (PBE) for an optimized crystal structure of NaSiBr.

For the formation energy without anion corrections, the calculation gives -0.6764 eV/atom.

The structure belongs to space group P2_1/c (No. 14); the cell edges are 12.3640, 4.0326 and 7.3623 Å and the angles 90.00°, 98.95° and 90.00°. The inequivalent atoms are Na at (0.1101, 0.2500, 0.1533), Si at (0.4875, 0.9997, 0.1623) and Br at (0.1402, 0.7503, 0.4112).

=====

Density functional theory data (PBE) for an optimized crystal structure of AlCuP2.

For the formation enthalpy at 0 K, the calculation gives 1.86 kJ/mol of atoms.

The structure belongs to space group P2/m (No. 10); the cell edges are 4.1675, 3.4909 and 4.6012 Å and the angles 90.00°, 103.61° and 90.00°. The inequivalent atoms are Al at (0.0000, 0.0000, 0.0000), Cu at (0.5000, 0.0000, 0.5000) and P at (0.3218, 0.5000, 0.7827).

=====

Density functional theory data (PBE) for an optimized crystal structure of LaOs2.

For the formation enthalpy at 0 K, the calculation gives 28.16 kJ/mol of atoms.

The structure belongs to space group C2/m (No. 12); the cell edges are 11.6268, 2.9414 and 7.0138 Å and the angles 90.00°, 103.31° and 90.00°. The inequivalent atoms are La at (0.0056, 0.0000, 0.2796), Os at (0.1716, 0.5000, 0.0471) and Os at (0.2287, 0.5000, 0.6436).

=====

Density functional theory data (PBE) for an optimized crystal structure of MgTiP2O.

The value obtained for the excess energy over the best structure of this formula in the dataset is 808 meV/atom. For the formation energy without anion corrections, the calculation gives 0.1203 eV/atom.

The structure belongs to space group P4/mmm (No. 123); the cell edges are 4.8260, 4.8260 and 3.6176 Å and the angles 90.00°, 90.00° and 90.00°. The inequivalent atoms are Mg at (0.0000, 0.0000, 0.0000), Ti at (0.5000, 0.5000, 0.5000), P at (0.0000, 0.5000, 0.0000) and O at (0.0000, 0.0000, 0.5000).

=====

Density functional theory data (PBE) for an optimized crystal structure of Al2VBC.

For the formation enthalpy at 0 K, the calculation gives 54.71 kJ/mol of atoms.

The structure belongs to space group P4/mmm (No. 123); the cell edges are 4.9030, 4.9030 and 2.7856 Å and the angles 90.00°, 90.00° and 90.00°. The inequivalent atoms are Al at (0.0000, 0.5000, 0.0000), V at (0.0000, 0.0000, 0.5000), B at (0.5000, 0.5000, 0.0000) and C at (0.5000, 0.5000, 0.5000).

=====

Density functional theory data (PBE) for an optimized crystal structure of ScMnCr2Ga.

For the formation enthalpy at 0 K, the calculation gives 82.14 kJ/mol of atoms.

The structure belongs to space group P4/mmm (No. 123); the cell edges are 4.6438, 4.6438 and 4.5896 Å and the angles 90.00°, 90.00° and 90.00°. The inequivalent atoms are Sc at (0.0000, 0.0000, 0.0000), Mn at (0.5000, 0.5000, 0.0000), Cr at (0.0000, 0.5000, 0.5000) and Ga at (0.5000, 0.5000, 0.5000).

=====

Density functional theory data (PBE) for an optimized crystal structure of AlMo2Se.

The value obtained for the excess energy over the best structure of this formula in the dataset is 247 meV/atom. For the formation energy without anion corrections, the calculation gives 0.1572 eV/atom.

The structure belongs to space group C2/m (No. 12); the cell edges are 8.9671, 3.1485 and 4.6015 Å and the angles 90.00°, 98.24° and 90.00°. The inequivalent atoms are Al at (0.0000, 0.0000, 0.0000), Mo at (0.2469, 0.0000, 0.7523) and Se at (0.0000, 0.5000, 0.5000).

=====

Density functional theory data (PBE) for an optimized crystal structure of CeAl4Pd2Rh.

For the formation enthalpy at 0 K, the calculation gives -75.74 kJ/mol of atoms.

The structure belongs to space group R-3m (No. 166, hexagonal axes); the cell edges are 4.2565, 4.2565 and 26.8383 Å and the angles 90.00°, 90.00° and 120.00°. The inequivalent atoms are Ce at (0.0000, 0.0000, 0.0000), Al at (0.0000, 0.0000, 0.1334), Al at (0.0000, 0.0000, 0.4043), Pd at (0.0000, 0.0000, 0.2325) and Rh at (0.0000, 0.0000, 0.5000).

=====

Density functional theory data (PBE) for an optimized crystal structure of PmNd2Ho3Se6.

For the formation energy without anion corrections, the calculation gives -1.7856 eV/atom.

The structure belongs to space group C2/m (No. 12); the cell edges are 18.1417, 4.0922 and 8.3803 Å and the angles 90.00°, 104.90° and 90.00°. The inequivalent atoms are Pm at (0.0000, 0.0000, 0.0000), Nd at (0.1670, 0.5000, 0.3338), Ho at (0.0000, 0.0000, 0.5000), Ho at (0.1672, 0.5000, 0.8333), Se at (0.0037, 0.5000, 0.7427), Se at (0.1629, 0.0000, 0.5925) and Se at (0.1693, 0.0000, 0.0734).